Compound: CsKWSeS2
Source: OQMD
Functional: GGA-PBE
Structure: relaxed

abc: 7.161 7.804 8.629
angles: 76.32 68.93 64.93
Sites, in units of the cell vectors:
Cs 0.333 0.572 0.300
Cs 0.667 0.428 0.700
K 0.088 0.184 0.138
K 0.912 0.816 0.862
S 0.644 0.151 0.101
S 0.271 0.983 0.476
S 0.729 0.017 0.524
S 0.356 0.849 0.899
Se 0.829 0.626 0.256
Se 0.171 0.374 0.744
W 0.624 0.946 0.333
W 0.376 0.054 0.667

Summary:
Energy, eV/atom: -5.3177
M_tot, μB per atom: 0.0003


Compound: NaAcSm
Source: OQMD
Functional: GGA-PBE
Structure: relaxed

abc: 5.592 5.592 5.592
angles: 60.00 60.00 60.00
Sites, in units of the cell vectors:
Ac 0.250 0.250 0.250
Na 0.000 0.000 0.000
Sm 0.750 0.750 0.750

Summary:
Energy, eV/atom: -2.6907
M_tot, μB per atom: 0.5818
Relative energy among the computed polymorphs, eV per atom: 0.0000


Compound: HgGeMo
Source: OQMD
Functional: GGA-PBE
Structure: relaxed

abc: 8.041 8.041 2.832
angles: 90.00 90.00 120.00
Sites, in units of the cell vectors:
Ge 0.667 0.333 0.000
Ge 0.333 0.667 0.000
Ge 0.000 0.000 0.500
Hg 0.307 0.000 0.000
Hg 0.000 0.307 0.000
Hg 0.693 0.693 0.000
Mo 0.642 0.000 0.500
Mo 0.358 0.358 0.500
Mo 0.000 0.642 0.500

Summary:
Energy, eV/atom: -4.6503
M_tot, μB per atom: 0.0051
Relative energy among the computed polymorphs, eV per atom: 0.0000


Compound: YCuSnIr
Source: OQMD
Functional: GGA-PBE
Structure: relaxed

abc: 4.722 4.722 4.722
angles: 60.00 60.00 60.00
Sites, in units of the cell vectors:
Cu 0.750 0.750 0.750
Ir 0.250 0.250 0.250
Sn 0.000 0.000 0.000
Y 0.500 0.500 0.500

Summary:
Energy, eV/atom: -6.2014
M_tot, μB per atom: 0.0001
Relative energy among the computed polymorphs, eV per atom: 0.0000


Compound: CoGe2Bi
Source: OQMD
Functional: GGA-PBE
Structure: relaxed

abc: 4.746 4.746 4.746
angles: 60.00 60.00 60.00
Sites, in units of the cell vectors:
Bi 0.500 0.500 0.500
Co 0.250 0.250 0.250
Ge 0.000 0.000 0.000
Ge 0.750 0.750 0.750

Summary:
Energy, eV/atom: -4.5668
M_tot, μB per atom: 0.0629


Compound: NaHoTe
Source: OQMD
Functional: GGA-PBE
Structure: relaxed

abc: 5.041 5.041 5.041
angles: 60.00 60.00 60.00
Sites, in units of the cell vectors:
Ho 0.250 0.250 0.250
Na 0.750 0.750 0.750
Te 0.000 0.000 0.000

Summary:
Energy, eV/atom: -3.4208
M_tot, μB per atom: 0.0013
Relative energy among the computed polymorphs, eV per atom: 0.0000


Compound: CdH8C7N4Cl2
Source: OQMD
Functional: GGA-PBE
Structure: relaxed

abc: 9.124 9.124 14.231
angles: 110.61 110.61 70.29
Sites, in units of the cell vectors:
C 0.268 0.446 0.016
C 0.559 0.300 0.068
C 0.146 0.300 0.076
C 0.499 0.561 0.146
C 0.113 0.563 0.153
C 0.660 0.495 0.183
C 0.046 0.494 0.195
C 0.506 0.954 0.305
C 0.505 0.340 0.317
C 0.437 0.887 0.347
C 0.439 0.501 0.354
C 0.700 0.854 0.424
C 0.700 0.441 0.432
C 0.554 0.732 0.484
C 0.446 0.268 0.516
C 0.300 0.559 0.568
C 0.300 0.146 0.576
C 0.561 0.499 0.646
C 0.563 0.113 0.653
C 0.495 0.660 0.683
C 0.494 0.046 0.695
C 0.954 0.506 0.805
C 0.340 0.505 0.817
C 0.887 0.437 0.847
C 0.501 0.439 0.854
C 0.854 0.700 0.924
C 0.441 0.700 0.932
C 0.732 0.554 0.984
Cd 0.943 0.140 0.140
Cd 0.860 0.057 0.360
Cd 0.140 0.943 0.640
Cd 0.057 0.860 0.860
Cl 0.174 0.905 0.082
Cl 0.782 0.953 0.153
Cl 0.047 0.218 0.347
Cl 0.095 0.826 0.418
Cl 0.905 0.174 0.582
Cl 0.953 0.782 0.653
Cl 0.218 0.047 0.847
Cl 0.826 0.095 0.918
H 0.783 0.438 0.004
H 0.544 0.183 0.016
H 0.180 0.185 0.022
H 0.741 0.654 0.054
H 0.424 0.683 0.162
H 0.118 0.686 0.168
H 0.448 0.010 0.241
H 0.750 0.555 0.242
H 0.445 0.250 0.258
H 0.990 0.552 0.259
H 0.314 0.882 0.332
H 0.317 0.576 0.338
H 0.346 0.259 0.446
H 0.815 0.820 0.478
H 0.817 0.456 0.484
H 0.562 0.217 0.496
H 0.438 0.783 0.504
H 0.183 0.544 0.516
H 0.185 0.180 0.522
H 0.654 0.741 0.554
H 0.683 0.424 0.662
H 0.686 0.118 0.668
H 0.010 0.448 0.741
H 0.555 0.750 0.742
H 0.250 0.445 0.758
H 0.552 0.990 0.759
H 0.882 0.314 0.832
H 0.576 0.317 0.838
H 0.259 0.346 0.946
H 0.820 0.815 0.978
H 0.456 0.817 0.984
H 0.217 0.562 0.996
N 0.436 0.436 0.073
N 0.176 0.438 0.078
N 0.696 0.333 0.134
N 0.067 0.331 0.146
N 0.669 0.933 0.354
N 0.667 0.304 0.366
N 0.562 0.824 0.422
N 0.564 0.564 0.427
N 0.436 0.436 0.573
N 0.438 0.176 0.578
N 0.333 0.696 0.634
N 0.331 0.067 0.646
N 0.933 0.669 0.854
N 0.304 0.667 0.866
N 0.824 0.562 0.922
N 0.564 0.564 0.927

Summary:
Energy, eV/atom: -6.0567


Compound: Nd4I2Br3N
Source: OQMD
Functional: GGA-PBE
Structure: relaxed

abc: 9.627 9.627 8.417
angles: 102.73 102.73 23.58
Sites, in units of the cell vectors:
Br 0.160 0.160 0.341
Br 0.500 0.500 0.500
Br 0.840 0.840 0.659
I 0.829 0.829 0.193
I 0.171 0.171 0.807
N 0.500 0.500 0.000
Nd 0.634 0.634 0.071
Nd 0.000 0.000 0.202
Nd 0.000 0.000 0.798
Nd 0.366 0.366 0.929

Summary:
Energy, eV/atom: -5.0470
M_tot, μB per atom: 0.0009


Compound: HoTmSi2Mo2N
Source: OQMD
Functional: GGA-PBE
Structure: relaxed

abc: 5.875 5.875 7.098
angles: 123.67 123.67 36.56
Sites, in units of the cell vectors:
Ho 0.573 0.573 0.294
Mo 0.203 0.203 0.085
Mo 0.796 0.796 0.914
N 0.999 0.999 0.997
Si 0.869 0.869 0.341
Si 0.131 0.131 0.661
Tm 0.427 0.427 0.707

Summary:
Energy, eV/atom: -7.9242
M_tot, μB per atom: 0.0001


Compound: BaCd2HgPt
Source: OQMD
Functional: GGA-PBE
Structure: relaxed

abc: 7.227 7.227 7.227
angles: 143.34 143.34 52.82
Sites, in units of the cell vectors:
Ba 0.013 0.013 0.000
Cd 0.740 0.240 0.500
Cd 0.240 0.740 0.500
Hg 0.395 0.395 0.000
Pt 0.611 0.611 0.000

Summary:
Energy, eV/atom: -2.4681
M_tot, μB per atom: 0.0004


Compound: Cu2Ag3
Source: OQMD
Functional: GGA-PBE
Structure: relaxed

abc: 22.363 22.363 22.363
angles: 7.30 7.30 7.30
Sites, in units of the cell vectors:
Ag 0.098 0.098 0.098
Ag 0.199 0.199 0.199
Ag 0.394 0.394 0.394
Ag 0.606 0.606 0.606
Ag 0.801 0.801 0.801
Ag 0.902 0.902 0.902
Cu 0.000 0.000 0.000
Cu 0.305 0.305 0.305
Cu 0.500 0.500 0.500
Cu 0.695 0.695 0.695

Summary:
Energy of formation from the pure elements, eV/f.u.: 0.42
Energy, eV/atom: -3.0982
Relative energy among the computed polymorphs, eV per atom: 0.0509


Compound: Li4TlSiAu2
Source: OQMD
Functional: GGA-PBE
Structure: relaxed

abc: 4.371 4.371 6.625
angles: 90.00 90.00 90.00
Sites, in units of the cell vectors:
Au 0.500 0.000 0.207
Au 0.000 0.500 0.793
Li 0.500 0.500 0.000
Li 0.000 0.500 0.224
Li 0.000 0.000 0.500
Li 0.500 0.000 0.776
Si 0.000 0.000 0.000
Tl 0.500 0.500 0.500

Summary:
Energy, eV/atom: -3.1632


Compound: Li2MgCd
Source: OQMD
Functional: GGA-PBE
Structure: relaxed

abc: 4.657 6.639 14.005
angles: 90.00 90.00 90.00
Sites, in units of the cell vectors:
Cd 0.000 0.000 0.000
Cd 0.500 0.500 0.167
Cd 0.000 0.000 0.333
Cd 0.500 0.500 0.500
Cd 0.000 0.000 0.667
Cd 0.500 0.500 0.833
Li 0.500 0.250 0.000
Li 0.500 0.750 0.000
Li 0.000 0.250 0.167
Li 0.000 0.750 0.167
Li 0.500 0.250 0.333
Li 0.500 0.750 0.333
Li 0.000 0.250 0.500
Li 0.000 0.750 0.500
Li 0.500 0.250 0.667
Li 0.500 0.750 0.667
Li 0.000 0.250 0.833
Li 0.000 0.750 0.833
Mg 0.000 0.500 0.000
Mg 0.500 0.000 0.167
Mg 0.000 0.500 0.333
Mg 0.500 0.000 0.500
Mg 0.000 0.500 0.667
Mg 0.500 0.000 0.833

Summary:
Energy, eV/atom: -1.7448
Relative energy among the computed polymorphs, eV per atom: 0.0000


Compound: NbCoBIr
Source: OQMD
Functional: GGA-PBE
Structure: relaxed

abc: 4.210 4.210 4.210
angles: 60.00 60.00 60.00
Sites, in units of the cell vectors:
B 0.000 0.000 0.000
Co 0.750 0.750 0.750
Ir 0.500 0.500 0.500
Nb 0.250 0.250 0.250

Summary:
Energy, eV/atom: -7.7788
M_tot, μB per atom: 0.0007
Relative energy among the computed polymorphs, eV per atom: 0.2021


Compound: BaPuBi
Source: OQMD
Functional: GGA-PBE
Structure: relaxed

abc: 5.515 5.515 5.515
angles: 60.00 60.00 60.00
Sites, in units of the cell vectors:
Ba 0.250 0.250 0.250
Bi 0.750 0.750 0.750
Pu 0.000 0.000 0.000

Summary:
Energy, eV/atom: -6.7543
M_tot, μB per atom: 2.2889


Compound: Nd2ScAl3Cu2Ni
Source: OQMD
Functional: GGA-PBE
Structure: relaxed

abc: 4.038 7.056 7.056
angles: 121.25 90.00 90.00
Sites, in units of the cell vectors:
Al 0.500 0.233 0.233
Al 0.500 0.989 0.767
Al 0.500 0.767 0.989
Cu 0.500 0.660 0.355
Cu 0.500 0.355 0.660
Nd 0.000 0.414 0.002
Nd 0.000 0.002 0.414
Ni 0.000 0.985 0.985
Sc 0.000 0.596 0.596

Summary:
Energy, eV/atom: -4.8989
M_tot, μB per atom: 0.0005


Compound: Y4AlCoN2
Source: OQMD
Functional: GGA-PBE
Structure: relaxed

abc: 3.480 3.480 14.532
angles: 90.00 90.00 120.00
Sites, in units of the cell vectors:
Al 0.000 0.000 0.000
Co 0.667 0.333 0.500
N 0.333 0.667 0.262
N 0.333 0.667 0.738
Y 0.667 0.333 0.173
Y 0.000 0.000 0.364
Y 0.000 0.000 0.636
Y 0.667 0.333 0.827

Summary:
Energy, eV/atom: -7.4444
M_tot, μB per atom: 0.0145


Compound: YMgFeSn
Source: OQMD
Functional: GGA-PBE
Structure: relaxed

abc: 4.889 4.889 4.889
angles: 60.00 60.00 60.00
Sites, in units of the cell vectors:
Fe 0.750 0.750 0.750
Mg 0.500 0.500 0.500
Sn 0.000 0.000 0.000
Y 0.250 0.250 0.250

Summary:
Energy, eV/atom: -5.0803
M_tot, μB per atom: 0.5504
Relative energy among the computed polymorphs, eV per atom: 0.0302


Compound: BaTbTm
Source: OQMD
Functional: GGA-PBE
Structure: relaxed

abc: 5.761 5.761 5.761
angles: 60.00 60.00 60.00
Sites, in units of the cell vectors:
Ba 0.250 0.250 0.250
Tb 0.750 0.750 0.750
Tm 0.000 0.000 0.000

Summary:
Energy, eV/atom: -2.8512
M_tot, μB per atom: 0.0311


Compound: Sr2TbW2
Source: OQMD
Functional: GGA-PBE
Structure: relaxed

abc: 12.342 12.342 12.342
angles: 163.06 163.06 24.05
Sites, in units of the cell vectors:
Sr 0.371 0.371 0.000
Sr 0.629 0.629 0.000
Tb 0.000 0.000 0.000
W 0.750 0.250 0.500
W 0.250 0.750 0.500

Summary:
Energy, eV/atom: -5.9330
M_tot, μB per atom: 0.0742
Relative energy among the computed polymorphs, eV per atom: 0.0000


Compound: LiPdAu2
Source: OQMD
Functional: GGA-PBE
Structure: relaxed

abc: 2.871 2.871 7.748
angles: 90.00 90.00 90.00
Sites, in units of the cell vectors:
Au 0.500 0.500 0.263
Au 0.500 0.500 0.737
Li 0.000 0.000 0.500
Pd 0.000 0.000 0.000

Summary:
Energy, eV/atom: -3.7283
Relative energy among the computed polymorphs, eV per atom: 0.0797